Below is a geometry-optimized La6CeIn5 structure, with properties calculated at the GGA-PBE level.

Cell lengths 5.6395, 7.8712, 8.9658 Å; angles 90.00, 108.16, 90.00 degrees
With the nearest neighbours (Å) after each atom.
Element x y z (fractional)
1 In 0.0000 0.5000 0.0000  8 La 3.36-3.53
2 In 0.6513 0.0000 0.3050  8 La 3.35-3.58
3 In 0.3329 0.5000 0.6620  8 La 3.37-3.45
4 In 0.6671 0.5000 0.3380  8 La 3.37-3.45
5 In 0.3487 0.0000 0.6950  8 La 3.35-3.58
6 Ce 0.0000 0.0000 0.0000  8 La 3.50-3.52, 4 In 3.83
7 La 0.8302 0.7530 0.6578  7 In 3.37-3.58, 1 Ce 3.50
8 La 0.5000 0.2681 0.0000  6 In 3.35-3.41, 2 Ce 3.52, 1 La 3.65
9 La 0.8303 0.2470 0.6578  7 In 3.37-3.58, 1 Ce 3.50
10 La 0.5000 0.7319 0.0000  6 In 3.35-3.41, 2 Ce 3.52, 1 La 3.65
11 La 0.1698 0.2470 0.3422  7 In 3.37-3.58, 1 Ce 3.50
12 La 0.1697 0.7530 0.3422  7 In 3.37-3.58, 1 Ce 3.50

Values from the calculation:
**ΔE_f**: -0.3885 eV per atom